! CdCo3Tc, optimized geometry, DFT GGA-PBEsol; values from VASP
! E above lowest polymorph	939	meV/atom
! E_form	2.2655	eV per atom
! volume	18.0	A^3/atom
! density of states at the Fermi level	10.76	states/eV per cell
! E	-24.3	eV per cell
&SYSTEM
  ibrav = 0, nat = 5, ntyp = 3
/
ATOMIC_SPECIES
Cd 112.41 Cd.upf
Co 58.93 Co.upf
Tc 98.00 Tc.upf
CELL_PARAMETERS angstrom
4.4800 0.0000 0.0000
0.0000 4.4800 0.0000
0.0000 0.0000 4.4800
ATOMIC_POSITIONS crystal
Cd 0.0000 0.0000 0.0000
Co 0.0000 0.0000 0.5000
Co 0.0000 0.5000 0.0000
Co 0.5000 0.0000 0.0000
Tc 0.5000 0.5000 0.5000